No. 1
{"formula": "KBF3", "functional": "PBE", "state": "optimized geometry", "e_form_raw_mev_per_atom": -1577, "space_group": "Pm-3m", "lattice_angstrom": [[3.868, 0.000, 0.000], [0.000, 3.868, 0.000], [0.000, 0.000, 3.868]], "species": ["K", "B", "F", "F", "F"], "fractional_positions": [[0.000, 0.000, 0.000], [0.500, 0.500, 0.500], [0.000, 0.500, 0.500], [0.500, 0.000, 0.500], [0.500, 0.500, 0.000]]}

---

No. 2
{"formula": "Na2GaSb2", "functional": "PBE", "state": "optimized geometry", "e_form_raw_mev_per_atom": 62, "space_group": "I4/mmm", "lattice_angstrom": [[-2.154, 2.154, 8.133], [2.154, -2.154, 8.133], [2.154, 2.154, -8.133]], "species": ["Na", "Na", "Ga", "Sb", "Sb"], "fractional_positions": [[0.098, 0.098, 0.000], [0.902, 0.902, 0.000], [0.500, 0.500, 0.000], [0.250, 0.750, 0.500], [0.750, 0.250, 0.500]]}

---

No. 3
{"formula": "LaBeCo2", "functional": "PBE", "state": "optimized geometry", "space_group": "I4_1/amd", "formation_energy_ev_per_fu": 0.42, "lattice_angstrom": [[-2.207, 2.207, 7.348], [2.207, -2.207, 7.348], [2.207, 2.207, -7.348]], "species": ["La", "La", "Be", "Be", "Co", "Co", "Co", "Co"], "fractional_positions": [[0.375, 0.625, 0.750], [0.625, 0.375, 0.250], [0.125, 0.875, 0.250], [0.875, 0.125, 0.750], [0.000, 0.000, 0.000], [0.000, 0.000, 0.500], [0.000, 0.500, 0.000], [0.500, 0.000, 0.500]]}

---

DOS at the Fermi energy? In order: 0.9 2.2 3.3 states/eV/f.u..